[1]
This record from the Alexandria database describes a relaxed Na2HfMnS4 crystal. The functional is PBE.

The structure in POSCAR format:
```
Na2HfMnS4
1.0
6.517 0.000 0.000
0.000 3.733 0.000
-2.199 0.000 6.610
Na Hf Mn S
2 1 1 4
Cartesian
0.000 0.000 0.000 Na
3.259 1.867 0.000 Na
-1.100 1.867 3.305 Hf
2.159 0.000 3.305 Mn
-0.078 0.000 4.754 S
1.049 1.867 1.926 S
3.269 1.867 4.683 S
4.396 0.000 1.855 S
```

Summary:
Total magnetization = 4.97 μB per formula unit
Formation energy from raw total energies = -1.223 eV per atom

---

[2]
This record from the Alexandria database describes a relaxed PmTm2Sc4 crystal. The functional is PBE.

The structure in POSCAR format:
```
PmTm2Sc4
1.0
6.711 0.000 0.000
-1.701 7.976 0.000
-1.676 -3.859 7.181
Pm Tm Sc
2 4 8
Cartesian
0.000 0.000 0.000 Pm
0.000 3.193 3.925 Pm
0.027 -1.628 5.052 Tm
1.683 5.590 1.885 Tm
3.357 3.246 3.841 Tm
5.012 2.770 0.888 Tm
-1.681 5.570 1.974 Sc
-1.687 1.117 6.244 Sc
1.696 2.732 0.968 Sc
1.718 0.291 2.935 Sc
1.685 -3.765 7.176 Sc
1.693 1.117 6.235 Sc
3.360 -1.681 4.982 Sc
5.019 0.291 2.953 Sc
```

Summary:
Total magnetization = 0.00 μB per formula unit
Distance to the lowest polymorph of the same formula = 0 meV/atom
Formation energy from the elements = 56 meV per atom

---

[3]
This record from the Alexandria database describes a relaxed BaTeSe crystal. The functional is PBE.

The structure in POSCAR format:
```
BaTeSe
1.0
4.632 0.000 0.000
0.000 4.560 0.000
-2.050 0.000 10.518
Ba Te Se
2 2 2
Cartesian
0.367 1.140 3.019 Ba
2.216 3.420 7.499 Ba
0.040 1.140 9.229 Te
2.543 3.420 1.289 Te
-0.157 1.140 6.557 Se
2.739 3.420 3.961 Se
```

Summary:
Total magnetization = 0.00 μB per formula unit
Distance to the lowest polymorph of the same formula = 38 meV/atom
Formation energy from raw total energies = -1.242 eV per atom

---

[4]
This record from the Alexandria database describes a relaxed CaPaSe4 crystal. The functional is PBE.

The structure in POSCAR format:
```
CaPaSe4
1.0
4.690 -4.802 0.000
4.690 4.802 0.000
0.000 0.000 4.319
Ca Pa Se
1 1 4
Cartesian
0.000 0.000 0.000 Ca
4.690 0.000 2.160 Pa
1.994 0.000 2.160 Se
4.690 1.802 0.000 Se
4.690 -1.802 0.000 Se
7.387 0.000 2.160 Se
```

Summary:
Total magnetization = 0.00 μB per formula unit
Distance to the lowest polymorph of the same formula = 0 meV/atom
Formation energy from raw total energies = -1.249 eV per atom

---

[5]
This record from the Alexandria database describes a relaxed La2DyEr5 crystal. The functional is PBE.

The structure in POSCAR format:
```
La2DyEr5
1.0
7.134 0.000 0.000
0.000 14.269 0.000
0.000 0.000 5.078
La Dy Er
4 2 10
Cartesian
1.771 1.786 0.000 La
1.796 8.920 0.000 La
5.338 5.349 0.000 La
5.363 12.483 0.000 La
0.000 7.134 2.539 Dy
3.567 0.000 2.539 Dy
0.000 0.000 2.539 Er
0.016 10.704 2.539 Er
1.769 5.352 0.000 Er
1.798 12.487 0.000 Er
3.551 3.570 2.539 Er
3.567 7.134 2.539 Er
3.583 10.699 2.539 Er
5.336 1.782 0.000 Er
5.365 8.917 0.000 Er
7.118 3.565 2.539 Er
```

Summary:
Total magnetization = 0.00 μB per formula unit
Distance to the lowest polymorph of the same formula = 3 meV/atom
Formation energy from the elements = 37 meV per atom

---

[6]
This record from the Alexandria database describes a relaxed Hf2Al3Ga3 crystal. The functional is PBE.

The structure in POSCAR format:
```
Hf2Al3Ga3
1.0
4.059 0.000 0.000
0.000 4.095 0.000
0.000 0.000 8.237
Hf Al Ga
2 3 3
Cartesian
0.000 0.000 2.038 Hf
0.000 0.000 6.199 Hf
0.000 2.047 0.000 Al
0.000 2.047 4.119 Al
2.030 0.000 4.119 Al
2.030 0.000 0.000 Ga
2.030 2.047 2.122 Ga
2.030 2.047 6.116 Ga
```

Summary:
Total magnetization = 0.00 μB per formula unit
Formation energy from the elements = -365 meV per atom

---

> total magnetization of number 5 (La2DyEr5)?

0.00 μB per formula unit

---

> Which value of total magnetization does entry 5 give?

0.00 μB per formula unit